## w
This record from OQMD via LeMat-Bulk describes a geometry-optimized CsSmFe structure. The functional is PBE-GGA.

## Properties
Density, g/cm³: 5.51
Total moment, μB per formula unit: 1.26

a b c (Å): 5.2478 5.2478 5.2478
angles (deg): 60.00 60.00 60.00
Last column: nearest neighbours and their distance in Å.
Fractional positions:
Cs (0.0000, 0.0000, 0.0000)  4 Sm 3.21
Sm (0.2500, 0.2500, 0.2500)  4 Fe 3.21, 4 Cs 3.21
Fe (0.5000, 0.5000, 0.5000)  4 Sm 3.21



## x
This record from OQMD via LeMat-Bulk describes a geometry-optimized CsSmFe structure. The functional is PBE-GGA.

## Properties
Density, g/cm³: 6.73
Total moment, μB per formula unit: 2.62

a b c (Å): 4.9090 4.9090 4.9090
angles (deg): 60.00 60.00 60.00
Last column: nearest neighbours and their distance in Å.
Fractional positions:
Cs (0.0000, 0.0000, 0.0000)  4 Fe 3.01, 4 Sm 3.01
Sm (0.2500, 0.2500, 0.2500)  4 Cs 3.01
Fe (0.7500, 0.7500, 0.7500)  4 Cs 3.01



Last place for stability: x



## w
This record from OQMD via LeMat-Bulk describes a geometry-optimized CsYFe structure. The functional is PBE-GGA.

## Properties
Density, g/cm³: 5.09
Total moment, μB per formula unit: 2.63

a b c (Å): 5.0418 5.0418 5.0418
angles (deg): 60.00 60.00 60.00
Last column: nearest neighbours and their distance in Å.
Fractional positions:
Cs (0.0000, 0.0000, 0.0000)  4 Fe 3.09, 4 Y 3.09
Y (0.2500, 0.2500, 0.2500)  4 Cs 3.09
Fe (0.7500, 0.7500, 0.7500)  4 Cs 3.09



## x
This record from OQMD via LeMat-Bulk describes a geometry-optimized CsYFe structure. The functional is PBE-GGA.

## Properties
Density, g/cm³: 5.05
Total moment, μB per formula unit: 0.93

a b c (Å): 5.0550 5.0550 5.0550
angles (deg): 60.00 60.00 60.00
Last column: nearest neighbours and their distance in Å.
Fractional positions:
Cs (0.0000, 0.0000, 0.0000)  4 Fe 3.10
Y (0.5000, 0.5000, 0.5000)  4 Fe 3.10
Fe (0.2500, 0.2500, 0.2500)  4 Y 3.10, 4 Cs 3.10



Last place for stability: w



## w
This record from OQMD via LeMat-Bulk describes a geometry-optimized CsGaHg structure. The functional is PBE-GGA.

## Properties
Density, g/cm³: 5.06

a b c (Å): 5.7185 5.7185 5.7185
angles (deg): 60.00 60.00 60.00
Last column: nearest neighbours and their distance in Å.
Fractional positions:
Cs (0.0000, 0.0000, 0.0000)  4 Hg 3.50
Ga (0.5000, 0.5000, 0.5000)  4 Hg 3.50
Hg (0.2500, 0.2500, 0.2500)  4 Ga 3.50, 4 Cs 3.50



## x
This record from OQMD via LeMat-Bulk describes a geometry-optimized CsGaHg structure. The functional is PBE-GGA.

## Properties
Density, g/cm³: 4.47

a b c (Å): 5.9621 5.9621 5.9621
angles (deg): 60.00 60.00 60.00
Last column: nearest neighbours and their distance in Å.
Fractional positions:
Cs (0.0000, 0.0000, 0.0000)  4 Hg 3.65, 4 Ga 3.65
Ga (0.7500, 0.7500, 0.7500)  4 Cs 3.65
Hg (0.2500, 0.2500, 0.2500)  4 Cs 3.65



Last place for stability: x



## w
This record from OQMD via LeMat-Bulk describes a geometry-optimized CsPrGaTe3 structure. The functional is PBE-GGA.

## Properties
Density, g/cm³: 4.90
Total moment, μB per formula unit: 0.00

a b c (Å): 8.5654 8.5654 12.2049
angles (deg): 90.00 90.00 146.64
Last column: nearest neighbours and their distance in Å.
Fractional positions:
Cs (0.2448, 0.7552, 0.7500)  8 Te 3.95-4.32
Cs (0.7552, 0.2448, 0.2500)  8 Te 3.95-4.32
Pr (0.5000, 0.5000, 0.0000)  6 Te 3.19-3.27
Pr (0.5000, 0.5000, 0.5000)  6 Te 3.19-3.27
Ga (0.0256, 0.9744, 0.2500)  4 Te 2.78-2.80
Ga (0.9744, 0.0256, 0.7500)  4 Te 2.78-2.80
Te (0.1229, 0.8771, 0.0639)  1 Ga 2.78
Te (0.1229, 0.8771, 0.4361)  1 Ga 2.78
Te (0.4433, 0.5567, 0.2500)  2 Ga 2.80
Te (0.5567, 0.4433, 0.7500)  2 Ga 2.80
Te (0.8771, 0.1229, 0.5639)  1 Ga 2.78
Te (0.8771, 0.1229, 0.9361)  1 Ga 2.78



## x
This record from OQMD via LeMat-Bulk describes a geometry-optimized CsPrGaTe3 structure. The functional is PBE-GGA.

## Properties
Density, g/cm³: 5.40
Total moment, μB per formula unit: 0.00

a b c (Å): 12.5889 5.1461 13.7801
angles (deg): 90.00 90.00 90.00
Last column: nearest neighbours and their distance in Å.
Fractional positions:
Cs (0.1783, 0.2500, 0.0047)  8 Te 3.86-4.19, 3 Ga 3.99-4.08
Cs (0.3217, 0.7500, 0.5047)  8 Te 3.86-4.19, 3 Ga 3.99-4.08
Cs (0.6783, 0.2500, 0.4953)  8 Te 3.86-4.19, 3 Ga 3.99-4.08
Cs (0.8217, 0.7500, 0.9953)  8 Te 3.86-4.19, 3 Ga 3.99-4.08
Pr (0.0268, 0.2500, 0.3281)  7 Te 3.30-3.39
Pr (0.4732, 0.7500, 0.8281)  7 Te 3.30-3.39
Pr (0.5268, 0.2500, 0.1719)  7 Te 3.30-3.39
Pr (0.9732, 0.7500, 0.6719)  7 Te 3.30-3.39
Ga (0.2354, 0.2500, 0.7203)  4 Te 2.73-2.82
Ga (0.2646, 0.7500, 0.2203)  4 Te 2.73-2.82
Ga (0.7354, 0.2500, 0.7797)  4 Te 2.73-2.82
Ga (0.7646, 0.7500, 0.2797)  4 Te 2.73-2.82
Te (0.0518, 0.7500, 0.1804)  1 Ga 2.73
Te (0.0951, 0.2500, 0.5611)  1 Ga 2.82
Te (0.2091, 0.7500, 0.7911)  2 Ga 2.77
Te (0.2909, 0.2500, 0.2911)  2 Ga 2.77
Te (0.4049, 0.7500, 0.0611)  1 Ga 2.82
Te (0.4482, 0.2500, 0.6804)  1 Ga 2.73
Te (0.5518, 0.7500, 0.3196)  1 Ga 2.73
Te (0.5951, 0.2500, 0.9389)  1 Ga 2.82
Te (0.7091, 0.7500, 0.7089)  2 Ga 2.77
Te (0.7909, 0.2500, 0.2089)  2 Ga 2.77
Te (0.9049, 0.7500, 0.4389)  1 Ga 2.82
Te (0.9482, 0.2500, 0.8196)  1 Ga 2.73



Last place for stability: x



## w
This record from OQMD via LeMat-Bulk describes a geometry-optimized CsGaRe structure. The functional is PBE-GGA.

## Properties
Density, g/cm³: 6.78
Total moment, μB per formula unit: 2.93

a b c (Å): 5.1263 5.1263 5.1263
angles (deg): 60.00 60.00 60.00
Last column: nearest neighbours and their distance in Å.
Fractional positions:
Cs (0.0000, 0.0000, 0.0000)  4 Ga 3.14
Ga (0.2500, 0.2500, 0.2500)  4 Re 3.14, 4 Cs 3.14
Re (0.5000, 0.5000, 0.5000)  4 Ga 3.14



## x
This record from OQMD via LeMat-Bulk describes a geometry-optimized CsGaRe structure. The functional is PBE-GGA.

## Properties
Density, g/cm³: 7.15
Total moment, μB per formula unit: 2.71

a b c (Å): 5.0360 5.0360 5.0360
angles (deg): 60.00 60.00 60.00
Last column: nearest neighbours and their distance in Å.
Fractional positions:
Cs (0.0000, 0.0000, 0.0000)  4 Re 3.08
Ga (0.5000, 0.5000, 0.5000)  4 Re 3.08
Re (0.2500, 0.2500, 0.2500)  4 Ga 3.08, 4 Cs 3.08



## y
This record from OQMD via LeMat-Bulk describes a geometry-optimized CsGaRe structure. The functional is PBE-GGA.

## Properties
Density, g/cm³: 5.80
Total moment, μB per formula unit: 3.16

a b c (Å): 5.4008 5.4008 5.4008
angles (deg): 60.00 60.00 60.00
Last column: nearest neighbours and their distance in Å.
Fractional positions:
Cs (0.0000, 0.0000, 0.0000)  4 Re 3.31, 4 Ga 3.31
Ga (0.7500, 0.7500, 0.7500)  4 Cs 3.31
Re (0.2500, 0.2500, 0.2500)  4 Cs 3.31



Last place for stability: y



## w
This record from OQMD via LeMat-Bulk describes a geometry-optimized CsTmGa structure. The functional is PBE-GGA.

## Properties
Density, g/cm³: 5.37
Total moment, μB per formula unit: 0.01

a b c (Å): 5.4552 5.4552 5.4552
angles (deg): 60.00 60.00 60.00
Last column: nearest neighbours and their distance in Å.
Fractional positions:
Cs (0.0000, 0.0000, 0.0000)  4 Tm 3.34, 4 Ga 3.34
Tm (0.7500, 0.7500, 0.7500)  4 Cs 3.34
Ga (0.2500, 0.2500, 0.2500)  4 Cs 3.34



## x
This record from OQMD via LeMat-Bulk describes a geometry-optimized CsTmGa structure. The functional is PBE-GGA.

## Properties
Density, g/cm³: 5.87
Total moment, μB per formula unit: 0.01

a b c (Å): 5.2986 5.2986 5.2986
angles (deg): 60.00 60.00 60.00
Last column: nearest neighbours and their distance in Å.
Fractional positions:
Cs (0.0000, 0.0000, 0.0000)  4 Tm 3.24
Tm (0.2500, 0.2500, 0.2500)  4 Ga 3.24, 4 Cs 3.24
Ga (0.5000, 0.5000, 0.5000)  4 Tm 3.24



Last place for stability: w